Here is an optimized crystal structure of LiCuBi2S4 from Alexandria via LeMat-Bulk. Energies are from PBE.

a = 8.254 Å, b = 7.960 Å, c = 6.237 Å
α = 90.00°, β = 90.00°, γ = 90.00°
Sites, in units of the cell vectors:
Li (0.000, 0.157, 0.000)
Li (0.500, 0.843, 0.500)
Cu (0.000, 0.831, 0.508)
Cu (0.500, 0.169, 0.008)
Bi (0.244, 0.321, 0.489)
Bi (0.256, 0.679, 0.989)
Bi (0.744, 0.679, 0.989)
Bi (0.756, 0.321, 0.489)
S (0.000, 0.109, 0.394)
S (0.000, 0.862, 0.876)
S (0.240, 0.699, 0.406)
S (0.260, 0.301, 0.906)
S (0.500, 0.138, 0.376)
S (0.500, 0.891, 0.894)
S (0.740, 0.301, 0.906)
S (0.760, 0.699, 0.406)

Values from the calculation:
- V: 25.610 A^3/atom
- Uncorrected energy: -4.2190 eV/atom
- Space group: Pmn2_1, No. 31